Entry from Alexandria via LeMat-Bulk: a geometry-optimized TbY8Th2 structure (PBE).

Cell and atoms, written as extended XYZ:
```
11
Lattice="5.764 1.604 0.000 2.570 8.626 0.000 1.285 4.313 7.990" Properties=species:S:1:pos:R:3 pbc="T T T"
Y 5.452 9.427 3.369
Y 4.262 11.345 6.143
Y 4.167 5.115 4.621
Y 5.551 6.137 0.000
Y 5.356 3.197 1.847
Y 2.977 7.032 1.847
Tb 2.882 0.802 0.000
Th 1.285 4.313 3.118
Th 2.570 8.626 4.872
Y 6.642 7.510 6.143
Y 2.783 4.092 0.000
```

Values from the calculation:
volume = 364.3 Å³/cell
DFT total energy = -68.9 eV per formula unit
distance to the lowest polymorph of the same formula = 23 kJ/mol of formula units
SG = No. 12
total moment = 0.0 μB per cell
energy of formation from the pure elements = 205 meV per atom
crystal system = monoclinic